1.
This record from Alexandria via LeMat-Bulk describes an optimized crystal structure of Y2Ni17. The functional is PBE.

Lattice parameters (Å, degrees): 6.253 6.253 6.253 83.07 83.07 83.07
Each line ends with the local moment (μB).
Positions (direct):
Ni 0.293 0.707 0.000  0.47
Ni 0.846 0.346 0.346  0.45
Ni 0.154 0.654 0.654  0.45
Ni 0.707 0.293 0.000  0.47
Ni 0.099 0.099 0.099  0.45
Ni 0.293 0.000 0.707  0.47
Ni 0.000 0.500 0.000  0.52
Ni 0.901 0.901 0.901  0.45
Ni 0.707 0.000 0.293  0.47
Ni 0.346 0.846 0.346  0.45
Ni 0.000 0.293 0.707  0.47
Ni 0.346 0.346 0.846  0.45
Ni 0.500 0.000 0.000  0.52
Ni 0.654 0.654 0.154  0.45
Ni 0.000 0.707 0.293  0.47
Ni 0.654 0.154 0.654  0.45
Ni 0.000 0.000 0.500  0.52
Y 0.660 0.660 0.660  -0.08
Y 0.340 0.340 0.340  -0.08

Summary:
Formation enthalpy at 0 K = -18 kJ/mol of atoms
Volume = 12.61 Å³ per atom
Energy = -114.830 eV for the cell shown
Calculated density = 8.15 g/cm3

2.
This record from Alexandria via LeMat-Bulk describes an optimized crystal structure of Li2CoPt. The functional is PBE.

Lattice parameters (Å, degrees): 4.625 4.625 4.451 78.43 78.43 33.64
Each line ends with the local moment (μB).
Positions (direct):
Li 0.501 0.501 0.501  -0.03
Li 0.999 0.999 0.999  -0.03
Co 0.250 0.250 0.250  1.32
Pt 0.750 0.750 0.750  0.09

Summary:
Formation enthalpy at 0 K = -24 kJ/mol of atoms
Volume = 12.89 Å³ per atom
Energy = -17.957 eV for the cell shown
Calculated density = 8.63 g/cm3

3.
This record from Alexandria via LeMat-Bulk describes an optimized crystal structure of CuAg3Sn6. The functional is PBE.

Lattice parameters (Å, degrees): 7.410 6.716 9.486 90.00 93.26 90.00
Positions (direct):
Ag 0.500 0.500 0.000
Ag 0.527 0.771 0.731
Ag 0.973 0.271 0.769
Ag 0.473 0.229 0.269
Ag 0.000 0.000 0.500
Ag 0.027 0.729 0.231
Sn 0.849 0.642 0.926
Sn 0.662 0.616 0.268
Sn 0.352 0.888 0.089
Sn 0.151 0.358 0.074
Sn 0.648 0.112 0.911
Sn 0.349 0.858 0.426
Sn 0.838 0.116 0.232
Sn 0.651 0.142 0.574
Sn 0.162 0.884 0.768
Sn 0.852 0.612 0.589
Sn 0.338 0.384 0.732
Sn 0.148 0.388 0.411
Cu 0.500 0.500 0.500
Cu 0.000 0.000 0.000

Summary:
Formation enthalpy at 0 K = 5 kJ/mol of atoms
Volume = 23.57 Å³ per atom
Energy = -72.242 eV for the cell shown
Calculated density = 7.75 g/cm3

4.
This record from Alexandria via LeMat-Bulk describes an optimized crystal structure of V2ZnFeH. The functional is PBE.

Lattice parameters (Å, degrees): 3.790 3.790 3.717 90.00 90.00 90.00
Each line ends with the local moment (μB).
Positions (direct):
Fe 0.000 0.000 0.500  1.83
V 0.000 0.500 0.000  -0.13
V 0.500 0.000 0.000  -0.13
Zn 0.500 0.500 0.500  -0.01
H 0.000 0.000 0.000  0.00

Summary:
Volume = 10.68 Å³ per atom
Energy = -31.543 eV for the cell shown
Calculated density = 6.97 g/cm3

5.
This record from Alexandria via LeMat-Bulk describes an optimized crystal structure of Li2HgSe. The functional is PBE.

Lattice parameters (Å, degrees): 3.525 3.249 7.547 64.46 90.00 90.00
Positions (direct):
Li 0.000 0.945 0.054
Li 0.000 0.555 0.446
Se 0.500 0.250 0.250
Hg 0.500 0.750 0.750

Summary:
Energy relative to the elements, uncorrected = -0.643 eV per atom
Volume = 19.49 Å³ per atom
Energy = -10.186 eV for the cell shown
Calculated density = 6.25 g/cm3

6.
This record from Alexandria via LeMat-Bulk describes an optimized crystal structure of PmHgSb. The functional is PBE.

Lattice parameters (Å, degrees): 5.213 5.213 5.213 60.00 60.00 60.00
Positions (direct):
Sb 0.500 0.500 0.500
Hg 0.000 0.000 0.000
Pm 0.250 0.250 0.250

Summary:
Energy relative to the elements, uncorrected = -0.538 eV per atom
Volume = 33.39 Å³ per atom
Energy = -10.789 eV for the cell shown
Calculated density = 7.75 g/cm3

7.
This record from Alexandria via LeMat-Bulk describes an optimized crystal structure of KRb3. The functional is PBE.

Lattice parameters (Å, degrees): 8.047 9.936 9.936 120.00 90.00 90.00
Positions (direct):
Rb 0.750 0.338 0.169
Rb 0.750 0.831 0.169
Rb 0.250 0.169 0.338
Rb 0.750 0.831 0.662
Rb 0.250 0.662 0.831
Rb 0.250 0.169 0.831
K 0.250 0.667 0.333
K 0.750 0.333 0.667

Summary:
Formation enthalpy at 0 K = 1 kJ/mol of atoms
Volume = 86.00 Å³ per atom
Energy = -7.955 eV for the cell shown
Calculated density = 1.43 g/cm3

8.
This record from Alexandria via LeMat-Bulk describes an optimized crystal structure of Tm5BSb2. The functional is PBE.

Lattice parameters (Å, degrees): 5.257 8.087 12.990 90.00 90.00 108.97
Each line ends with the local moment (μB).
Positions (direct):
Tm 0.285 0.569 0.084  0.07
Tm 0.715 0.431 0.584  0.07
Tm 0.072 0.145 0.379  0.09
Tm 0.715 0.431 0.916  0.07
Tm 0.928 0.855 0.879  0.09
Tm 0.072 0.145 0.121  0.09
Tm 0.294 0.589 0.750  0.11
Tm 0.706 0.411 0.250  0.11
Tm 0.285 0.569 0.416  0.07
Tm 0.928 0.855 0.621  0.09
B 0.188 0.376 0.250  0.00
B 0.812 0.624 0.750  0.00
Sb 0.129 0.257 0.600  0.00
Sb 0.129 0.257 0.900  0.00
Sb 0.871 0.743 0.400  0.00
Sb 0.871 0.743 0.100  0.00

Summary:
Energy relative to the elements, uncorrected = -0.223 eV per atom
Volume = 32.64 Å³ per atom
Energy = -78.127 eV for the cell shown
Calculated density = 6.99 g/cm3

9.
This record from Alexandria via LeMat-Bulk describes an optimized crystal structure of PaAl6Cu3. The functional is PBE.

Lattice parameters (Å, degrees): 4.015 8.847 9.723 97.64 90.00 90.00
Positions (direct):
Cu 0.750 0.711 0.556
Cu 0.750 0.345 0.831
Cu 0.250 0.655 0.169
Cu 0.250 0.289 0.444
Cu 0.250 0.788 0.910
Cu 0.750 0.212 0.090
Al 0.250 0.587 0.428
Al 0.750 0.793 0.326
Al 0.250 0.362 0.213
Al 0.250 0.207 0.674
Al 0.750 0.493 0.094
Al 0.250 0.206 0.945
Al 0.750 0.413 0.572
Al 0.250 0.507 0.906
Al 0.750 0.794 0.055
Al 0.750 0.097 0.460
Al 0.250 0.903 0.540
Al 0.750 0.638 0.787
Pa 0.250 0.016 0.199
Pa 0.750 0.984 0.801

Summary:
Formation enthalpy at 0 K = -9 kJ/mol of atoms
Volume = 17.12 Å³ per atom
Energy = -90.429 eV for the cell shown
Calculated density = 5.66 g/cm3

10.
This record from Alexandria via LeMat-Bulk describes an optimized crystal structure of Ca2MnAs. The functional is PBE.

Lattice parameters (Å, degrees): 7.599 7.599 7.599 33.57 33.57 33.57
Each line ends with the local moment (μB).
Positions (direct):
Ca 0.017 0.017 0.017  -0.03
Ca 0.483 0.483 0.483  -0.03
As 0.750 0.750 0.750  0.04
Mn 0.250 0.250 0.250  4.13

Summary:
Formation enthalpy at 0 K = -10 kJ/mol of atoms
Volume = 29.86 Å³ per atom
Energy = -18.242 eV for the cell shown
Calculated density = 2.92 g/cm3

11.
This record from Alexandria via LeMat-Bulk describes an optimized crystal structure of CsNpSeO5. The functional is PBE.

Lattice parameters (Å, degrees): 6.804 6.804 8.107 93.13 93.13 114.16
Each line ends with the local moment (μB).
Positions (direct):
O 0.278 0.210 0.004  -0.03
O 0.945 0.055 0.750  -0.05
O 0.790 0.722 0.496  -0.03
O 0.267 0.886 0.601  0.11
O 0.733 0.114 0.399  0.11
O 0.722 0.790 0.996  -0.03
O 0.055 0.945 0.250  -0.05
O 0.210 0.278 0.504  -0.03
O 0.114 0.733 0.899  0.11
O 0.886 0.267 0.101  0.11
Np 0.000 0.000 0.500  1.02
Np 0.000 0.000 0.000  1.02
Se 0.280 0.720 0.750  0.28
Se 0.720 0.280 0.250  0.28
Cs 0.646 0.354 0.750  0.00
Cs 0.354 0.646 0.250  0.00

Summary:
Energy relative to the elements, uncorrected = -1.958 eV per atom
Volume = 21.29 Å³ per atom
Energy = -115.462 eV for the cell shown
Calculated density = 5.16 g/cm3

12.
This record from Alexandria via LeMat-Bulk describes an optimized crystal structure of K2CdGe. The functional is PBE.

Lattice parameters (Å, degrees): 5.786 5.786 5.786 60.00 60.00 60.00
Each line ends with the local moment (μB).
Positions (direct):
Ge 0.000 0.000 0.000  0.23
K 0.250 0.250 0.250  0.01
K 0.750 0.750 0.750  0.01
Cd 0.500 0.500 0.500  0.00

Summary:
Formation enthalpy at 0 K = 20 kJ/mol of atoms
Volume = 34.24 Å³ per atom
Energy = -6.914 eV for the cell shown
Calculated density = 3.19 g/cm3